[1]
LaNiSN2 after structural relaxation, computed with PBE.

a = 3.979 Å, b = 3.979 Å, c = 4.468 Å
α = 90.00°, β = 90.00°, γ = 90.00°
Positions (direct):
S1 0.000 0.000 0.500
La1 0.500 0.500 0.500
N1 0.000 0.500 0.000
N2 0.500 0.000 0.000
Ni1 0.000 0.000 0.000

energy above the lowest structure with this stoichiometry: 0 meV/atom
space-group type: P4/mmm (123)
DOS(E_F): 3.8 states/eV per cell

[2]
LaNiSN2 after structural relaxation, computed with PBE.

a = 4.052 Å, b = 4.052 Å, c = 6.106 Å
α = 90.00°, β = 90.00°, γ = 90.00°
Positions (direct):
N1 0.500 0.000 0.000
N2 0.000 0.500 0.000
S1 0.000 0.000 0.500
La1 0.000 0.000 0.000
Ni1 0.500 0.500 0.500

energy above the lowest structure with this stoichiometry: 1235 meV/atom
space-group type: P4/mmm (123)
DOS(E_F): 5.0 states/eV per cell

[3]
La2NiSbN after structural relaxation, computed with PBE.

a = 5.322 Å, b = 5.322 Å, c = 3.851 Å
α = 90.00°, β = 90.00°, γ = 90.00°
Positions (direct):
N1 0.000 0.000 0.000
Sb1 0.500 0.500 0.500
La1 0.500 0.000 0.000
Ni1 0.000 0.000 0.500
La2 0.000 0.500 0.000

space-group type: P4/mmm (123)
DOS(E_F): 3.1 states/eV per cell

[4]
LaNiSe2N after structural relaxation, computed with PBE.

a = 5.844 Å, b = 5.844 Å, c = 4.233 Å
α = 90.00°, β = 90.00°, γ = 90.00°
Positions (direct):
N1 0.000 0.000 0.500
La1 0.000 0.000 0.000
Se1 0.500 0.000 0.000
Se2 0.000 0.500 0.000
Ni1 0.500 0.500 0.500

energy above the lowest structure with this stoichiometry: 1253 meV/atom
space-group type: P4/mmm (123)
DOS(E_F): 8.8 states/eV per cell

[5]
LaNiSe2N after structural relaxation, computed with PBE.

a = 4.999 Å, b = 4.999 Å, c = 3.724 Å
α = 90.00°, β = 90.00°, γ = 90.00°
Positions (direct):
Se1 0.000 0.500 0.000
Ni1 0.000 0.000 0.000
N1 0.000 0.000 0.500
La1 0.500 0.500 0.500
Se2 0.500 0.000 0.000

energy above the lowest structure with this stoichiometry: 0 meV/atom
space-group type: P4/mmm (123)
DOS(E_F): 2.1 states/eV per cell

[6]
LaSi2NiN after structural relaxation, computed with PBE.

a = 4.177 Å, b = 5.043 Å, c = 4.177 Å
α = 90.00°, β = 90.00°, γ = 90.00°
Positions (direct):
N1 0.000 0.500 0.000
La1 0.500 0.500 0.500
Ni1 0.000 0.000 0.000
Si1 0.500 0.000 0.000
Si2 0.000 0.000 0.500

space-group type: P4/mmm (123)
DOS(E_F): 3.1 states/eV per cell

| no. | formation energy from raw total energies (eV per atom) |
| --- | --- |
| 1 | -0.05 |
| 2 | 1.19 |
| 3 | -0.92 |
| 4 | 0.72 |
| 5 | -0.53 |
| 6 | 0.26 |